A plane-wave DFT calculation with PBE was carried out for crystalline RbPrTeO4 at its relaxed geometry.

abc: 6.0070 6.1878 8.5742
angles: 90.00 113.62 90.00
Last column: nearest neighbours and their distance in Å.
Fractional coordinates of all 14 atoms:
Rb: 0.4425 0.7500 0.8584  4 O 2.86-3.08
Rb: 0.5575 0.2500 0.1416  4 O 2.86-3.08
Pr: 0.7844 0.7500 0.4662  6 O 2.38-2.52
Pr: 0.2156 0.2500 0.5338  6 O 2.38-2.52
Te: 0.1545 0.7500 0.2523  4 O 1.95-2.04
Te: 0.8455 0.2500 0.7477  4 O 1.95-2.04
O: 0.0132 0.4889 0.6759  1 Te 2.02
O: 0.9868 0.9889 0.3241  1 Te 2.02
O: 0.9868 0.5111 0.3241  1 Te 2.02
O: 0.0132 0.0111 0.6759  1 Te 2.02
O: 0.4536 0.7500 0.1952  1 Te 2.04
O: 0.5464 0.2500 0.8048  1 Te 2.04
O: 0.3930 0.7500 0.4871  1 Te 1.95
O: 0.6070 0.2500 0.5129  1 Te 1.95

Properties
- crystal system = monoclinic
- M_tot (μB/f.u.) = 0.0
- ΔE_f (raw) (kcal/mol of atoms) = -45.80
- E_tot (eV/atom) = -6.0893
- space group = P2_1/m (11)

=====

A plane-wave DFT calculation with PBE was carried out for crystalline Rb3PrTe2O9 at its relaxed geometry.

abc: 5.9987 5.9987 7.4121
angles: 90.00 90.00 120.00
Last column: nearest neighbours and their distance in Å.
Fractional coordinates of all 15 atoms:
Rb: 0.3333 0.6667 0.6697  12 O 3.00-3.12
Rb: 0.0000 0.0000 0.0000  12 O 2.95-3.00
Rb: 0.6667 0.3333 0.3303  12 O 3.00-3.12
Pr: 0.0000 0.0000 0.5000  6 O 2.36
Te: 0.3333 0.6667 0.1636  6 O 1.91-2.11
Te: 0.6667 0.3333 0.8364  6 O 1.91-2.11
O: 0.8195 0.1805 0.6933  1 Te 1.91
O: 0.8195 0.6390 0.6933  1 Te 1.91
O: 0.3610 0.1805 0.6933  1 Te 1.91
O: 0.6390 0.8195 0.3067  1 Te 1.91
O: 0.1805 0.3610 0.3067  1 Te 1.91
O: 0.1805 0.8195 0.3067  1 Te 1.91
O: 0.5000 0.0000 0.0000  2 Te 2.11
O: 0.0000 0.5000 0.0000  2 Te 2.11
O: 0.5000 0.5000 0.0000  2 Te 2.11

Properties
- crystal system = trigonal
- M_tot (μB/f.u.) = 0.0
- ΔE_f (raw) (kcal/mol of atoms) = -36.81
- E_tot (eV/atom) = -5.5021
- space group = P-3m1 (164)

=====

A plane-wave DFT calculation with PBE was carried out for crystalline Rb2PrTeO6 at its relaxed geometry.

abc: 6.1457 6.1461 8.6911
angles: 90.00 90.00 90.00
Last column: nearest neighbours and their distance in Å.
Fractional coordinates of all 20 atoms:
Rb: 0.5000 0.7500 0.2500  12 O 3.08
Rb: 0.0000 0.2500 0.7500  12 O 3.08
Rb: 0.5000 0.7500 0.7500  12 O 3.08
Rb: 0.0000 0.2500 0.2500  12 O 3.08
Pr: 0.0000 0.7498 0.5000  6 O 2.39
Pr: 0.5000 0.2502 0.0000  6 O 2.39
Te: 0.5000 0.2497 0.5000  6 O 1.96
Te: 0.0000 0.7503 0.0000  6 O 1.96
O: 0.5000 0.2498 0.2749  1 Te 1.96
O: 0.5000 0.2498 0.7251  1 Te 1.96
O: 0.0000 0.7502 0.2251  1 Te 1.96
O: 0.0000 0.7502 0.7749  1 Te 1.96
O: 0.2750 0.0246 0.5000  1 Te 1.96
O: 0.7250 0.0246 0.5000  1 Te 1.96
O: 0.2749 0.4747 0.5000  1 Te 1.96
O: 0.7251 0.4747 0.5000  1 Te 1.96
O: 0.7749 0.5253 0.0000  1 Te 1.96
O: 0.2251 0.5253 0.0000  1 Te 1.96
O: 0.2250 0.9754 0.0000  1 Te 1.96
O: 0.7750 0.9754 0.0000  1 Te 1.96

Properties
- crystal system = cubic
- M_tot (μB/f.u.) = 1.1
- ΔE_f (raw) (kcal/mol of atoms) = -41.26
- E_tot (eV/atom) = -5.7496
- space group = Fm-3m (225)

=====

A plane-wave DFT calculation with PBE was carried out for crystalline RbPrTe2O6 at its relaxed geometry.

abc: 7.2223 7.2223 7.8550
angles: 98.51 98.51 103.65
Last column: nearest neighbours and their distance in Å.
Fractional coordinates of all 20 atoms:
Rb: 0.1746 0.8254 0.2500  4 O 2.87-3.02
Rb: 0.8254 0.1746 0.7500  4 O 2.87-3.02
Pr: 0.5622 0.4378 0.2500  8 O 2.47-2.62
Pr: 0.4378 0.5622 0.7500  8 O 2.47-2.62
Te: 0.3201 0.0834 0.8316  3 O 1.89-1.92
Te: 0.9166 0.6799 0.6684  3 O 1.89-1.92
Te: 0.6799 0.9166 0.1684  3 O 1.89-1.92
Te: 0.0834 0.3201 0.3316  3 O 1.89-1.92
O: 0.9099 0.4584 0.2462  1 Te 1.89
O: 0.5416 0.0901 0.2538  1 Te 1.89
O: 0.0901 0.5416 0.7538  1 Te 1.89
O: 0.4584 0.9099 0.7462  1 Te 1.89
O: 0.1974 0.2522 0.1382  1 Te 1.89
O: 0.7478 0.8026 0.3618  1 Te 1.89
O: 0.8026 0.7478 0.8618  1 Te 1.89
O: 0.2522 0.1974 0.6382  1 Te 1.89
O: 0.3102 0.5282 0.4336  1 Te 1.92
O: 0.4718 0.6898 0.0664  1 Te 1.92
O: 0.6898 0.4718 0.5664  1 Te 1.92
O: 0.5282 0.3102 0.9336  1 Te 1.92

Properties
- crystal system = monoclinic
- M_tot (μB/f.u.) = 0.0
- ΔE_f (raw) (kcal/mol of atoms) = -41.66
- E_tot (eV/atom) = -5.9846
- space group = C2/c (15)

=====

A plane-wave DFT calculation with PBE was carried out for crystalline RbPrTiO4 at its relaxed geometry.

abc: 6.1496 6.1526 7.7904
angles: 90.00 106.50 90.00
Last column: nearest neighbours and their distance in Å.
Fractional coordinates of all 14 atoms:
Rb: 0.6870 0.7500 0.9224  2 O 2.78-2.89
Rb: 0.3130 0.2500 0.0776  2 O 2.78-2.89
Pr: 0.8010 0.7500 0.4512  6 O 2.38-2.52
Pr: 0.1990 0.2500 0.5488  6 O 2.38-2.52
Ti: 0.2657 0.7500 0.3394  4 O 1.79-1.86
Ti: 0.7343 0.2500 0.6606  4 O 1.79-1.86
O: 0.9376 0.4772 0.6717  1 Ti 1.86
O: 0.0624 0.9772 0.3283  1 Ti 1.86
O: 0.0624 0.5228 0.3283  1 Ti 1.86
O: 0.9376 0.0228 0.6717  1 Ti 1.86
O: 0.4617 0.7500 0.2015  1 Ti 1.83
O: 0.5383 0.2500 0.7985  1 Ti 1.83
O: 0.4626 0.7500 0.5584  1 Ti 1.79
O: 0.5374 0.2500 0.4416  1 Ti 1.79

Properties
- crystal system = monoclinic
- M_tot (μB/f.u.) = 0.0
- ΔE_f (raw) (kcal/mol of atoms) = -66.10
- E_tot (eV/atom) = -7.6485
- space group = P2_1/m (11)

=====

A plane-wave DFT calculation with PBE was carried out for crystalline Rb4Pr3TiO8 at its relaxed geometry.

abc: 7.1535 7.7576 7.1543
angles: 117.46 120.00 90.00
Last column: nearest neighbours and their distance in Å.
Fractional coordinates of all 16 atoms:
Rb: 0.5000 0.0000 0.0000  6 O 3.11
Rb: 0.5000 0.0000 0.5000  6 O 2.91-2.92
Rb: 0.0000 0.0000 0.0000  6 O 2.91-2.92
Rb: 0.0000 0.0000 0.5000  6 O 2.91-2.92
Pr: 0.5000 0.5000 0.0000  6 O 2.41-2.44
Pr: 0.5000 0.5000 0.5000  6 O 2.40-2.44
Pr: 0.0000 0.5000 0.5000  6 O 2.40-2.44
Ti: 0.0000 0.5000 0.0000  6 O 2.19-2.20
O: 0.2090 0.6727 0.9637  1 Ti 2.19, 2 Pr 2.44
O: 0.2093 0.6730 0.4186  1 Ti 2.20, 2 Pr 2.44
O: 0.2708 0.3123 0.5416  3 Pr 2.40-2.41
O: 0.7546 0.6727 0.9637  1 Ti 2.19, 2 Pr 2.44
O: 0.2454 0.3273 0.0363  1 Ti 2.19, 2 Pr 2.44
O: 0.7292 0.6877 0.4584  3 Pr 2.40-2.41
O: 0.7907 0.3270 0.5814  1 Ti 2.20, 2 Pr 2.44
O: 0.7910 0.3273 0.0363  1 Ti 2.19, 2 Pr 2.44

Properties
- crystal system = trigonal
- M_tot (μB/f.u.) = 1.0
- ΔE_f (raw) (kcal/mol of atoms) = -54.61
- E_tot (eV/atom) = -6.4785
- space group = R-3m (166)